# 1
A plane-wave DFT calculation with PBE was carried out for a relaxed structure of AcPm4Nd8.

Cell lengths 6.4044, 6.4044, 15.2322 Å; angles 94.08, 94.08, 48.18 degrees
Last column: nearest neighbours and their distance in Å.
Positions (direct):
Ac: 0.0000 0.0000 0.0000  8 Nd 3.71-3.74, 4 Pm 3.75
Pm: 0.1538 0.1538 0.5381  9 Nd 3.65-3.70, 3 Pm 3.69
Pm: 0.3806 0.3806 0.8419  10 Nd 3.67-3.79, 2 Ac 3.75
Pm: 0.6194 0.6194 0.1581  10 Nd 3.67-3.79, 2 Ac 3.75
Pm: 0.8462 0.8462 0.4619  9 Nd 3.65-3.70, 3 Pm 3.69
Nd: 0.0747 0.0747 0.7653  4 Pm 3.65-3.71, 7 Nd 3.67-3.71, 1 Ac 3.74
Nd: 0.2319 0.2319 0.3100  5 Pm 3.66-3.67, 7 Nd 3.68-3.70
Nd: 0.3083 0.3083 0.0801  4 Pm 3.68-3.79, 5 Nd 3.68-3.76, 3 Ac 3.71
Nd: 0.4602 0.4602 0.6134  6 Nd 3.65-3.70, 6 Pm 3.67-3.70
Nd: 0.5398 0.5398 0.3866  6 Nd 3.65-3.70, 6 Pm 3.67-3.70
Nd: 0.6917 0.6917 0.9199  4 Pm 3.68-3.79, 5 Nd 3.68-3.76, 3 Ac 3.71
Nd: 0.7681 0.7681 0.6900  5 Pm 3.66-3.67, 7 Nd 3.68-3.70
Nd: 0.9253 0.9253 0.2347  4 Pm 3.65-3.71, 7 Nd 3.67-3.71, 1 Ac 3.74

Calculated values
Calculated density   7.015 g/cm3
V   35.71 A^3/atom
Energy of formation from the pure elements   0.44 kcal/mol of atoms
Space group   C2/m (12)
E   -61.005 eV per cell

=====

# 2
A plane-wave DFT calculation with PBE was carried out for a relaxed structure of Pr6Sb3Te2As.

Cell lengths 7.8322, 7.8322, 7.7883 Å; angles 99.64, 99.64, 119.99 degrees
Last column: nearest neighbours and their distance in Å.
Positions (direct):
Pr: 0.0823 0.4001 0.7477  1 As 3.08, 3 Sb 3.15-3.25, 2 Te 3.23-3.24
Pr: 0.2332 0.2332 0.2480  1 As 3.10, 3 Sb 3.19-3.29, 2 Te 3.24
Pr: 0.4001 0.0823 0.7477  1 As 3.08, 3 Sb 3.15-3.25, 2 Te 3.23-3.24
Pr: 0.5999 0.9177 0.2523  1 As 3.08, 3 Sb 3.15-3.25, 2 Te 3.23-3.24
Pr: 0.7668 0.7668 0.7520  1 As 3.10, 3 Sb 3.19-3.29, 2 Te 3.24
Pr: 0.9177 0.5999 0.2523  1 As 3.08, 3 Sb 3.15-3.25, 2 Te 3.23-3.24
Sb: 0.1721 0.8279 0.0000  6 Pr 3.15-3.25
Sb: 0.5000 0.5000 0.0000  6 Pr 3.15-3.29
Sb: 0.8279 0.1721 0.0000  6 Pr 3.15-3.25
Te: 0.3345 0.6655 0.5000  6 Pr 3.23-3.24
Te: 0.6655 0.3345 0.5000  6 Pr 3.23-3.24
As: 0.0000 0.0000 0.5000  6 Pr 3.08-3.10

Calculated values
Calculated density   6.563 g/cm3
V   32.49 A^3/atom
Space group   C2/m (12)
E   -68.332 eV per cell
ΔE_f (raw)   -1.36 eV per atom

=====

# 3
A plane-wave DFT calculation with PBE was carried out for a relaxed structure of Sr2SbPtAu6.

Cell lengths 5.5475, 7.0436, 7.4447 Å; angles 81.87, 68.13, 66.88 degrees
Last column: nearest neighbours and their distance in Å.
Positions (direct):
Sr: 0.0287 0.2448 0.1980  9 Au 3.27-3.65, 2 Pt 3.51
Sr: 0.9713 0.7552 0.8020  9 Au 3.27-3.65, 2 Pt 3.51
Sb: 0.5000 0.0000 0.5000  6 Au 2.77-2.80
Pt: 0.5000 0.5000 0.0000  6 Au 2.71-2.81
Au: 0.0035 0.7634 0.2313  1 Pt 2.71, 3 Au 2.76-2.88, 1 Sb 2.78
Au: 0.3419 0.4181 0.3996  1 Sb 2.80, 1 Pt 2.81, 2 Au 2.88
Au: 0.4990 0.2353 0.7694  1 Pt 2.71, 3 Au 2.76-2.88, 1 Sb 2.77
Au: 0.5010 0.7647 0.2306  1 Pt 2.71, 3 Au 2.76-2.88, 1 Sb 2.77
Au: 0.6581 0.5819 0.6004  1 Sb 2.80, 1 Pt 2.81, 2 Au 2.88
Au: 0.9965 0.2366 0.7687  1 Pt 2.71, 3 Au 2.76-2.88, 1 Sb 2.78

Calculated values
Calculated density   11.195 g/cm3
V   24.83 A^3/atom
Space group   P-1 (2)
E   -37.740 eV per cell
ΔE_f (raw)   -0.45 eV per atom

=====

# 4
A plane-wave DFT calculation with PBE was carried out for a relaxed structure of Ta2ReSi2.

Cell lengths 6.4606, 6.4606, 3.6251 Å; angles 90.00, 90.00, 90.00 degrees
Last column: nearest neighbours and their distance in Å.
Positions (direct):
Ta: 0.1674 0.3326 0.0000  6 Si 2.57-2.66
Ta: 0.3326 0.8326 0.0000  6 Si 2.57-2.66
Ta: 0.6674 0.1674 0.0000  6 Si 2.57-2.66
Ta: 0.8326 0.6674 0.0000  6 Si 2.57-2.66
Re: 0.0000 0.0000 0.5000  4 Si 2.52
Re: 0.5000 0.5000 0.5000  4 Si 2.52
Si: 0.1326 0.6326 0.5000  1 Si 2.42, 2 Re 2.52, 6 Ta 2.57-2.66
Si: 0.3674 0.1326 0.5000  1 Si 2.42, 2 Re 2.52, 6 Ta 2.57-2.66
Si: 0.6326 0.8674 0.5000  1 Si 2.42, 2 Re 2.52, 6 Ta 2.57-2.66
Si: 0.8674 0.3674 0.5000  1 Si 2.42, 2 Re 2.52, 6 Ta 2.57-2.66

Calculated values
Calculated density   13.263 g/cm3
V   15.13 A^3/atom
Space group   P4/mbm (127)
E   -98.225 eV per cell
ΔE_f (raw)   -0.42 eV per atom

=====

# 5
A plane-wave DFT calculation with PBE was carried out for a relaxed structure of Al4ZnP.

Cell lengths 5.2792, 5.2792, 5.2792 Å; angles 60.00, 60.00, 60.00 degrees
Last column: nearest neighbours and their distance in Å.
Positions (direct):
Al: 0.1251 0.1251 0.1251  6 Al 2.64
Al: 0.1251 0.1251 0.6246  6 Al 2.64
Al: 0.1251 0.6246 0.1251  6 Al 2.64
Al: 0.6246 0.1251 0.1251  6 Al 2.64
Zn: 0.5000 0.5000 0.5000  12 Al 3.09, 4 P 3.23
P: 0.7500 0.7500 0.7500  12 Al 3.10, 4 Zn 3.23

Calculated values
Calculated density   3.261 g/cm3
V   17.34 A^3/atom
Energy of formation from the pure elements   8.28 kcal/mol of atoms
Space group   F-43m (216)
E   -19.499 eV per cell

=====

# 6
A plane-wave DFT calculation with PBE was carried out for a relaxed structure of Zn2ReSnS.

Cell lengths 4.7538, 4.7538, 4.3859 Å; angles 90.00, 90.00, 90.00 degrees
Last column: nearest neighbours and their distance in Å.
Positions (direct):
Zn: 0.0000 0.5000 0.0000  2 S 2.38
Zn: 0.5000 0.0000 0.0000  2 S 2.38
Re: 0.0000 0.0000 0.5000  2 S 2.19
Sn: 0.5000 0.5000 0.5000  8 Zn 3.23, 4 Re 3.36
S: 0.0000 0.0000 0.0000  2 Re 2.19, 4 Zn 2.38

Calculated values
Calculated density   7.837 g/cm3
V   19.82 A^3/atom
Space group   P4/mmm (123)
E   -19.564 eV per cell
ΔE_f (raw)   0.71 eV per atom

=====

# 7
A plane-wave DFT calculation with PBE was carried out for a relaxed structure of Pr4Y5Tm3.

Cell lengths 8.6582, 8.6582, 9.4500 Å; angles 115.17, 115.17, 40.16 degrees
Last column: nearest neighbours and their distance in Å.
Positions (direct):
Pr: 0.0861 0.0861 0.4503  2 Pr 3.33-3.66, 3 Y 3.45-3.55, 1 Tm 3.48
Pr: 0.2188 0.2188 0.8836  3 Tm 3.38-3.53, 3 Pr 3.56-3.66, 3 Y 3.69-3.72
Pr: 0.7812 0.7812 0.1164  3 Tm 3.38-3.53, 3 Pr 3.56-3.66, 3 Y 3.69-3.72
Pr: 0.9139 0.9139 0.5497  2 Pr 3.33-3.66, 3 Y 3.45-3.55, 1 Tm 3.48
Y: 0.0000 0.0000 0.0000  4 Tm 2.97-3.17
Y: 0.3303 0.3303 0.6192  4 Tm 3.22-3.47, 3 Pr 3.45-3.55, 1 Y 3.61
Y: 0.4297 0.4297 0.2940  2 Tm 3.30-3.45, 2 Y 3.51-3.61
Y: 0.5703 0.5703 0.7060  2 Tm 3.30-3.45, 2 Y 3.51-3.61
Y: 0.6697 0.6697 0.3808  4 Tm 3.22-3.47, 3 Pr 3.45-3.55, 1 Y 3.61
Tm: 0.2139 0.2139 0.2378  5 Y 3.17-3.47, 4 Pr 3.38-3.53
Tm: 0.5000 0.5000 0.0000  2 Y 2.97
Tm: 0.7861 0.7861 0.7622  5 Y 3.17-3.47, 4 Pr 3.38-3.53

Calculated values
Calculated density   6.177 g/cm3
V   33.94 A^3/atom
Energy of formation from the pure elements   5.08 kcal/mol of atoms
Space group   C2/m (12)
E   -62.207 eV per cell

=====

# 8
A plane-wave DFT calculation with PBE was carried out for a relaxed structure of BaCuSi.

Cell lengths 4.9598, 4.9598, 4.9598 Å; angles 60.00, 60.00, 60.00 degrees
Last column: nearest neighbours and their distance in Å.
Positions (direct):
Ba: 0.0000 0.0000 0.0000  4 Si 3.04
Cu: 0.5000 0.5000 0.5000  4 Si 3.04
Si: 0.2500 0.2500 0.2500  4 Cu 3.04, 4 Ba 3.04

Calculated values
Calculated density   4.407 g/cm3
V   28.76 A^3/atom
Space group   F-43m (216)
E   -10.397 eV per cell
ΔE_f (raw)   0.35 eV per atom